Computed, not measured: an optimized crystal structure of LaErPbAu at the PBE level of DFT.

Cell: 5.386 5.386 5.386 Å, 60.00 60.00 60.00°
Atoms (fractional coordinates):
1 La 0.000 0.000 0.000
2 Er 0.500 0.500 0.500
3 Pb 0.250 0.250 0.250
4 Au 0.750 0.750 0.750

Uncorrected energy in eV/atom: -4.73


Computed, not measured: an optimized crystal structure of LaErPdAu at the PBE level of DFT.

Cell: 5.145 5.145 5.145 Å, 60.00 60.00 60.00°
Atoms (fractional coordinates):
1 La 0.000 0.000 0.000
2 Er 0.500 0.500 0.500
3 Pd 0.750 0.750 0.750
4 Au 0.250 0.250 0.250

Offset from the most stable computed form in eV/atom: 0.054